! BaAuBr3 | the Alexandria database | PBE | optimized geometry; values from VASP
&SYSTEM
  ibrav = 0, nat = 20, ntyp = 3
/
ATOMIC_SPECIES
Ba 137.33 Ba.upf
Au 196.97 Au.upf
Br 79.90 Br.upf
CELL_PARAMETERS angstrom
8.024 0.000 1.094
0.000 8.342 0.000
0.985 0.000 11.182
ATOMIC_POSITIONS angstrom
Ba 7.805 5.260 3.398
Ba 4.724 1.089 3.833
Ba 1.204 3.082 8.878
Ba 4.286 7.253 8.442
Au 4.210 5.386 2.264
Au 8.319 1.215 4.967
Au 4.800 2.957 10.011
Au 0.690 7.128 7.308
Br 2.205 5.344 6.603
Br 3.285 1.173 10.717
Br 6.805 2.998 5.672
Br 5.725 7.169 1.559
Br 7.174 0.533 9.138
Br 6.341 4.704 9.275
Br 1.836 7.809 3.138
Br 2.669 3.638 3.000
Br 5.893 6.915 5.561
Br 6.636 2.744 1.670
Br 3.117 1.427 6.714
Br 2.373 5.598 10.606
! E above lowest polymorph ... 0 meV per atom
! Crystal system ... monoclinic
! VASP energy ... -0.1242 Ha/atom
! Size of the total moment ... 0.00 Bohr magnetons per cell
! Energy relative to the elements, uncorrected ... -1335 meV/atom
! Fermi-level density of states ... 0.00 states/eV/f.u.
! Space-group type ... No. 14

***

! AgPbAu5 | the Alexandria database | PBE | optimized geometry; values from VASP
&SYSTEM
  ibrav = 0, nat = 7, ntyp = 3
/
ATOMIC_SPECIES
Ag 107.87 Ag.upf
Pb 207.20 Pb.upf
Au 196.97 Au.upf
CELL_PARAMETERS angstrom
-1.438 0.101 -3.800
-2.677 -2.911 0.936
-5.890 6.186 2.394
ATOMIC_POSITIONS angstrom
Ag -2.058 -1.405 -1.432
Pb -2.945 3.093 1.197
Au -2.772 0.050 1.051
Au -5.795 3.225 2.279
Au -2.153 1.556 -1.317
Au -5.175 4.731 -0.088
Au 0.000 0.000 0.000
! Crystal system ... tetragonal
! VASP energy ... -0.1202 Ha/atom
! Size of the total moment ... 0.00 Bohr magnetons per cell
! Fermi-level density of states ... 2.59 states/eV/f.u.
! Space-group type ... No. 123
! E_form ... 0.01 eV/atom

***

! ScAl2InH | the Alexandria database | PBE | optimized geometry; values from VASP
&SYSTEM
  ibrav = 0, nat = 5, ntyp = 4
/
ATOMIC_SPECIES
Sc 44.96 Sc.upf
H 1.01 H.upf
Al 26.98 Al.upf
In 114.82 In.upf
CELL_PARAMETERS angstrom
-4.027 0.077 -1.656
-1.284 -2.578 3.003
-0.970 3.417 2.519
ATOMIC_POSITIONS angstrom
Sc -0.642 -1.289 1.502
H 0.000 0.000 0.000
Al -0.485 1.709 1.260
Al -2.013 0.039 -0.828
In -3.141 0.458 1.933
! Crystal system ... tetragonal
! VASP energy ... -0.1522 Ha/atom
! Size of the total moment ... 0.00 Bohr magnetons per cell
! Fermi-level density of states ... 1.38 states/eV/f.u.
! Space-group type ... No. 123

***

! Lu2TiAl | the Alexandria database | PBE | optimized geometry; values from VASP
&SYSTEM
  ibrav = 0, nat = 4, ntyp = 3
/
ATOMIC_SPECIES
Lu 174.97 Lu.upf
Al 26.98 Al.upf
Ti 47.87 Ti.upf
CELL_PARAMETERS angstrom
3.240 0.000 0.000
1.620 2.806 0.000
1.620 0.935 10.645
ATOMIC_POSITIONS angstrom
Lu 1.620 0.935 7.696
Lu 4.860 2.806 2.949
Al 3.240 1.871 5.323
Ti 0.000 0.000 0.000
! E above lowest polymorph ... 395 meV per atom
! Crystal system ... trigonal
! VASP energy ... -0.1795 Ha/atom
! Size of the total moment ... 2.13 Bohr magnetons per cell
! Fermi-level density of states ... 4.47 states/eV/f.u.
! Space-group type ... No. 166
! E_form ... 0.29 eV/atom

***

! Cr2PbI | the Alexandria database | PBE | optimized geometry; values from VASP
&SYSTEM
  ibrav = 0, nat = 4, ntyp = 3
/
ATOMIC_SPECIES
Pb 207.20 Pb.upf
I 126.90 I.upf
Cr 52.00 Cr.upf
CELL_PARAMETERS angstrom
0.000 3.302 3.302
3.302 0.000 3.302
3.302 3.302 0.000
ATOMIC_POSITIONS angstrom
Pb 3.302 3.302 3.302
I 0.000 0.000 0.000
Cr 1.651 1.651 1.651
Cr 4.953 4.953 4.953
! E above lowest polymorph ... 455 meV per atom
! Crystal system ... cubic
! VASP energy ... -0.1810 Ha/atom
! Size of the total moment ... 0.00 Bohr magnetons per cell
! Energy relative to the elements, uncorrected ... 1202 meV/atom
! Fermi-level density of states ... 8.07 states/eV/f.u.
! Space-group type ... No. 225